Entry 1:
{
  "formula": "Nd2NbN4",
  "functional": "PBE",
  "state": "optimized geometry",
  "cell": [[-1.145, -5.066, 3.207], [-0.135, -3.264, -5.204], [6.822, 0.653, -0.587]],
  "species": ["Nd", "Nd", "Nd", "Nd", "Nb", "Nb", "N", "N", "N", "N", "N", "N", "N", "N"],
  "fractional_positions": [[0.664, 0.750, 0.023], [0.336, 0.250, 0.977], [0.257, 0.250, 0.449], [0.743, 0.750, 0.551], [0.214, 0.750, 0.188], [0.786, 0.250, 0.812], [0.442, 0.512, 0.250], [0.016, 0.750, 0.904], [0.984, 0.250, 0.096], [0.442, 0.988, 0.250], [0.005, 0.250, 0.660], [0.558, 0.012, 0.750], [0.558, 0.488, 0.750], [0.995, 0.750, 0.340]],
  "space_group": "P2_1/m",
  "dft_energy_ev_per_atom": -8.42,
  "n_ef_per_ev_atom": 0.483
}

Entry 2:
{
  "formula": "Nd2NbN",
  "functional": "PBE",
  "state": "optimized geometry",
  "cell": [[3.397, 0.000, 0.000], [1.699, 2.942, 0.000], [1.699, 0.981, 9.115]],
  "species": ["Nb", "Nd", "Nd", "N"],
  "fractional_positions": [[0.000, 0.000, 0.000], [0.113, 0.113, 0.661], [0.887, 0.887, 0.339], [0.500, 0.500, 0.500]],
  "space_group": "R-3m",
  "dft_energy_ev_per_atom": -7.04,
  "n_ef_per_ev_atom": 1.061
}

Entry 3:
{
  "formula": "Nd2Nb2N5",
  "functional": "PBE",
  "state": "optimized geometry",
  "cell": [[-1.347, 4.029, 0.000], [0.926, -1.931, -5.700], [-5.226, -1.747, 2.016]],
  "species": ["Nd", "Nd", "Nb", "Nb", "N", "N", "N", "N", "N"],
  "fractional_positions": [[0.392, 0.784, 0.680], [0.608, 0.216, 0.320], [0.155, 0.309, 0.881], [0.845, 0.691, 0.119], [0.351, 0.702, 0.086], [0.649, 0.298, 0.914], [0.159, 0.318, 0.558], [0.841, 0.682, 0.442], [0.000, 0.000, 0.000]],
  "relative_energy_ev_per_atom": 0.000,
  "space_group": "C2/m",
  "dft_energy_ev_per_atom": -9.05,
  "n_ef_per_ev_atom": 0.181
}

Entry 4:
{
  "formula": "NdNb2N3",
  "functional": "PBE",
  "state": "optimized geometry",
  "cell": [[-4.031, -3.230, 2.565], [3.933, -4.850, 0.074], [2.154, 1.753, 5.593]],
  "species": ["Nd", "Nd", "Nb", "Nb", "Nb", "Nb", "N", "N", "N", "N", "N", "N"],
  "fractional_positions": [[0.250, 0.363, 0.637], [0.750, 0.637, 0.363], [0.000, 0.159, 0.159], [0.500, 0.159, 0.159], [0.000, 0.841, 0.841], [0.500, 0.841, 0.841], [0.750, 0.067, 0.933], [0.750, 0.266, 0.363], [0.250, 0.363, 0.266], [0.750, 0.637, 0.734], [0.250, 0.734, 0.637], [0.250, 0.933, 0.067]],
  "space_group": "Cmcm",
  "dft_energy_ev_per_atom": -8.76,
  "n_ef_per_ev_atom": 0.431
}

Entry 5:
{
  "formula": "NdNbN2",
  "functional": "PBE",
  "state": "optimized geometry",
  "cell": [[3.401, 0.000, 0.000], [0.000, 5.824, 0.000], [0.000, 0.000, 11.116]],
  "species": ["Nd", "Nd", "Nd", "Nd", "Nb", "Nb", "Nb", "Nb", "N", "N", "N", "N", "N", "N", "N", "N"],
  "fractional_positions": [[0.750, 0.086, 0.139], [0.250, 0.914, 0.861], [0.750, 0.586, 0.361], [0.250, 0.414, 0.639], [0.250, 0.583, 0.108], [0.250, 0.083, 0.392], [0.750, 0.417, 0.892], [0.750, 0.917, 0.608], [0.750, 0.228, 0.487], [0.250, 0.772, 0.513], [0.750, 0.728, 0.013], [0.250, 0.272, 0.987], [0.750, 0.162, 0.753], [0.250, 0.338, 0.253], [0.750, 0.662, 0.747], [0.250, 0.838, 0.247]],
  "space_group": "Pnma",
  "dft_energy_ev_per_atom": -9.13,
  "n_ef_per_ev_atom": 0.262
}

Entry 6:
{
  "formula": "NdNbN",
  "functional": "PBE",
  "state": "optimized geometry",
  "cell": [[3.177, 0.000, 0.000], [-1.588, 4.373, 1.532], [0.000, -0.253, 9.680]],
  "species": ["Nb", "Nb", "N", "N", "Nd", "Nd"],
  "fractional_positions": [[0.653, 0.306, 0.435], [0.347, 0.694, 0.565], [0.000, 0.000, 0.500], [0.000, 0.000, 0.000], [0.485, 0.970, 0.179], [0.515, 0.030, 0.821]],
  "space_group": "C2/m",
  "dft_energy_ev_per_atom": -8.04,
  "n_ef_per_ev_atom": 0.530
}

Entry 7:
{
  "formula": "NdNbNiN3",
  "functional": "PBE",
  "state": "optimized geometry",
  "cell": [[-2.257, 1.233, 1.983], [2.506, -3.631, 5.111], [3.564, 6.337, 0.119]],
  "species": ["Nd", "Nd", "Nb", "Nb", "Ni", "Ni", "N", "N", "N", "N", "N", "N"],
  "fractional_positions": [[0.250, 0.205, 0.229], [0.750, 0.795, 0.771], [0.250, 0.676, 0.157], [0.750, 0.324, 0.843], [0.250, 0.108, 0.590], [0.750, 0.892, 0.410], [0.750, 0.881, 0.132], [0.250, 0.119, 0.868], [0.250, 0.777, 0.480], [0.750, 0.223, 0.520], [0.750, 0.449, 0.148], [0.250, 0.551, 0.852]],
  "space_group": "P2_1/m",
  "dft_energy_ev_per_atom": -8.36,
  "n_ef_per_ev_atom": 0.491
}

Entry 8:
{
  "formula": "NdNb2NiN4",
  "functional": "PBE",
  "state": "optimized geometry",
  "cell": [[-0.890, 1.861, 2.499], [-0.102, -5.295, 1.807], [10.382, 0.847, 3.065]],
  "species": ["Nd", "Nd", "Nb", "Nb", "Nb", "Nb", "Ni", "Ni", "N", "N", "N", "N", "N", "N", "N", "N"],
  "fractional_positions": [[0.106, 0.213, 0.750], [0.894, 0.787, 0.250], [0.369, 0.738, 0.557], [0.631, 0.262, 0.057], [0.631, 0.262, 0.443], [0.369, 0.738, 0.943], [0.838, 0.676, 0.750], [0.162, 0.324, 0.250], [0.272, 0.544, 0.109], [0.728, 0.456, 0.609], [0.728, 0.456, 0.891], [0.272, 0.544, 0.391], [0.000, 0.000, 0.500], [0.000, 0.000, 0.000], [0.444, 0.888, 0.750], [0.556, 0.112, 0.250]],
  "space_group": "Cmcm",
  "dft_energy_ev_per_atom": -8.90,
  "n_ef_per_ev_atom": 0.166
}

Entry 9:
{
  "formula": "NdNp2NbN4",
  "functional": "PBE",
  "state": "optimized geometry",
  "cell": [[3.423, 0.000, 0.000], [-1.712, 5.950, 0.000], [0.000, 0.000, 11.909]],
  "species": ["Nd", "Nd", "Np", "Np", "Np", "Np", "Nb", "Nb", "N", "N", "N", "N", "N", "N", "N", "N"],
  "fractional_positions": [[0.109, 0.218, 0.750], [0.891, 0.782, 0.250], [0.370, 0.739, 0.541], [0.630, 0.261, 0.041], [0.630, 0.261, 0.459], [0.370, 0.739, 0.959], [0.846, 0.692, 0.750], [0.154, 0.308, 0.250], [0.265, 0.530, 0.117], [0.735, 0.470, 0.617], [0.735, 0.470, 0.883], [0.265, 0.530, 0.383], [0.000, 0.000, 0.500], [0.000, 0.000, 0.000], [0.456, 0.911, 0.750], [0.544, 0.089, 0.250]],
  "space_group": "Cmcm",
  "dft_energy_ev_per_atom": -10.21,
  "n_ef_per_ev_atom": 1.415
}

Entry 10:
{
  "formula": "Nd2NpNbN6",
  "functional": "PBE",
  "state": "optimized geometry",
  "cell": [[5.794, 0.000, -0.005], [0.000, 5.837, 0.000], [0.044, 0.000, 8.174]],
  "species": ["Nd", "Nd", "Nd", "Nd", "Np", "Np", "Nb", "Nb", "N", "N", "N", "N", "N", "N", "N", "N", "N", "N", "N", "N"],
  "fractional_positions": [[0.010, 0.960, 0.251], [0.510, 0.540, 0.751], [0.990, 0.040, 0.749], [0.490, 0.460, 0.249], [0.500, 0.000, 0.500], [0.000, 0.500, 0.000], [0.500, 0.000, 0.000], [0.000, 0.500, 0.500], [0.285, 0.708, 0.048], [0.785, 0.792, 0.548], [0.715, 0.292, 0.952], [0.215, 0.208, 0.452], [0.284, 0.712, 0.449], [0.784, 0.788, 0.949], [0.716, 0.288, 0.551], [0.216, 0.212, 0.051], [0.907, 0.523, 0.250], [0.407, 0.977, 0.750], [0.093, 0.477, 0.750], [0.593, 0.023, 0.250]],
  "space_group": "P2_1/c",
  "dft_energy_ev_per_atom": -9.36
}

Entry 11:
{
  "formula": "Nd3Pa3NbN8",
  "functional": "PBE",
  "state": "optimized geometry",
  "cell": [[-4.048, -5.271, -2.029], [4.182, -0.748, 5.499], [-5.659, 4.161, 0.480]],
  "species": ["Nd", "Nd", "Nd", "Pa", "Pa", "Pa", "Nb", "N", "N", "N", "N", "N", "N", "N", "N"],
  "fractional_positions": [[0.000, 0.000, 0.000], [0.000, 0.500, 0.000], [0.500, 0.500, 0.000], [0.500, 0.000, 0.500], [0.500, 0.500, 0.500], [0.000, 0.500, 0.500], [0.000, 0.000, 0.500], [0.261, 0.523, 0.284], [0.739, 0.477, 0.716], [0.777, 0.554, 0.303], [0.223, 0.446, 0.697], [0.777, 0.026, 0.303], [0.223, 0.974, 0.697], [0.249, 0.026, 0.303], [0.751, 0.974, 0.697]],
  "space_group": "R-3m",
  "dft_energy_ev_per_atom": -9.38,
  "n_ef_per_ev_atom": 0.425
}

Entry 12:
{
  "formula": "Nd2PaNbN4",
  "functional": "PBE",
  "state": "optimized geometry",
  "cell": [[3.455, 0.000, 0.000], [0.000, 5.915, 0.118], [0.000, -2.053, 5.719]],
  "species": ["Nd", "Nd", "Pa", "Nb", "N", "N", "N", "N"],
  "fractional_positions": [[0.500, 0.000, 0.500], [0.000, 0.500, 0.500], [0.500, 0.500, 0.000], [0.000, 0.000, 0.000], [0.500, 0.231, 0.207], [0.500, 0.769, 0.793], [0.000, 0.254, 0.789], [0.000, 0.746, 0.211]],
  "space_group": "P2/m",
  "dft_energy_ev_per_atom": -9.16,
  "n_ef_per_ev_atom": 0.392
}

Entry 13:
{
  "formula": "NdPaNbN3",
  "functional": "PBE",
  "state": "optimized geometry",
  "cell": [[-2.424, -2.250, 0.572], [3.101, -4.549, -4.753], [4.277, -2.986, 6.379]],
  "species": ["Nd", "Nd", "Pa", "Pa", "Nb", "Nb", "N", "N", "N", "N", "N", "N"],
  "fractional_positions": [[0.750, 0.865, 0.826], [0.250, 0.135, 0.174], [0.250, 0.630, 0.160], [0.750, 0.370, 0.840], [0.250, 0.133, 0.563], [0.750, 0.867, 0.437], [0.250, 0.832, 0.594], [0.750, 0.853, 0.151], [0.750, 0.409, 0.107], [0.750, 0.168, 0.406], [0.250, 0.591, 0.893], [0.250, 0.147, 0.849]],
  "space_group": "P2_1/m",
  "dft_energy_ev_per_atom": -9.32,
  "n_ef_per_ev_atom": 0.429
}

Entry 14:
{
  "formula": "Pm2NdNbN4",
  "functional": "PBE",
  "state": "optimized geometry",
  "cell": [[3.480, 0.000, 0.000], [-1.740, 6.090, 0.000], [0.000, 0.000, 12.464]],
  "species": ["Pm", "Pm", "Pm", "Pm", "Nd", "Nd", "Nb", "Nb", "N", "N", "N", "N", "N", "N", "N", "N"],
  "fractional_positions": [[0.369, 0.739, 0.535], [0.631, 0.261, 0.035], [0.631, 0.261, 0.465], [0.369, 0.739, 0.965], [0.100, 0.200, 0.750], [0.900, 0.800, 0.250], [0.838, 0.676, 0.750], [0.162, 0.324, 0.250], [0.264, 0.528, 0.129], [0.736, 0.472, 0.629], [0.736, 0.472, 0.871], [0.264, 0.528, 0.371], [0.000, 0.000, 0.500], [0.000, 0.000, 0.000], [0.442, 0.885, 0.750], [0.558, 0.115, 0.250]],
  "space_group": "Cmcm",
  "dft_energy_ev_per_atom": -8.34,
  "n_ef_per_ev_atom": 0.335
}

Entry 15:
{
  "formula": "Pr2NdNbN4",
  "functional": "PBE",
  "state": "optimized geometry",
  "cell": [[3.504, 0.000, 0.000], [-1.752, 6.139, 0.000], [0.000, 0.000, 12.692]],
  "species": ["Pr", "Pr", "Pr", "Pr", "Nd", "Nd", "Nb", "Nb", "N", "N", "N", "N", "N", "N", "N", "N"],
  "fractional_positions": [[0.369, 0.737, 0.535], [0.631, 0.263, 0.035], [0.631, 0.263, 0.465], [0.369, 0.737, 0.965], [0.101, 0.201, 0.750], [0.899, 0.799, 0.250], [0.837, 0.674, 0.750], [0.163, 0.326, 0.250], [0.267, 0.533, 0.134], [0.733, 0.467, 0.634], [0.733, 0.467, 0.866], [0.267, 0.533, 0.366], [0.000, 0.000, 0.500], [0.000, 0.000, 0.000], [0.439, 0.878, 0.750], [0.561, 0.122, 0.250]],
  "space_group": "Cmcm",
  "dft_energy_ev_per_atom": -8.26,
  "n_ef_per_ev_atom": 0.361
}

Entry 16:
{
  "formula": "PrNdNbN3",
  "functional": "PBE",
  "state": "optimized geometry",
  "cell": [[-0.666, 2.405, 2.663], [-2.692, -5.562, 4.351], [7.903, -0.536, 2.461]],
  "species": ["Pr", "Pr", "Nd", "Nd", "Nb", "Nb", "N", "N", "N", "N", "N", "N"],
  "fractional_positions": [[0.750, 0.837, 0.855], [0.250, 0.163, 0.145], [0.250, 0.622, 0.161], [0.750, 0.378, 0.839], [0.250, 0.091, 0.606], [0.750, 0.909, 0.394], [0.250, 0.828, 0.472], [0.750, 0.898, 0.152], [0.750, 0.390, 0.127], [0.750, 0.172, 0.528], [0.250, 0.610, 0.873], [0.250, 0.102, 0.848]],
  "space_group": "P2_1/m",
  "dft_energy_ev_per_atom": -8.42,
  "n_ef_per_ev_atom": 0.489
}

Entry 17:
{
  "formula": "PrNd2NbN4",
  "functional": "PBE",
  "state": "optimized geometry",
  "cell": [[-2.378, 2.526, -0.507], [-2.205, -3.538, 4.841], [6.086, 7.367, 8.155]],
  "species": ["Pr", "Pr", "Nd", "Nd", "Nd", "Nd", "Nb", "Nb", "N", "N", "N", "N", "N", "N", "N", "N"],
  "fractional_positions": [[0.098, 0.197, 0.750], [0.902, 0.803, 0.250], [0.369, 0.739, 0.535], [0.631, 0.261, 0.035], [0.631, 0.261, 0.465], [0.369, 0.739, 0.965], [0.836, 0.673, 0.750], [0.164, 0.327, 0.250], [0.265, 0.530, 0.130], [0.735, 0.470, 0.630], [0.735, 0.470, 0.870], [0.265, 0.530, 0.370], [0.000, 0.000, 0.500], [0.000, 0.000, 0.000], [0.438, 0.875, 0.750], [0.562, 0.125, 0.250]],
  "space_group": "Cmcm",
  "dft_energy_ev_per_atom": -8.30,
  "n_ef_per_ev_atom": 0.346
}

Entry 18:
{
  "formula": "NdPu2NbN4",
  "functional": "PBE",
  "state": "optimized geometry",
  "cell": [[-2.869, -0.356, 1.827], [-0.114, -4.540, -4.265], [5.849, -7.418, 7.739]],
  "species": ["Nd", "Nd", "Pu", "Pu", "Pu", "Pu", "Nb", "Nb", "N", "N", "N", "N", "N", "N", "N", "N"],
  "fractional_positions": [[0.106, 0.212, 0.750], [0.894, 0.788, 0.250], [0.369, 0.738, 0.536], [0.631, 0.262, 0.036], [0.631, 0.262, 0.464], [0.369, 0.738, 0.964], [0.844, 0.687, 0.750], [0.156, 0.313, 0.250], [0.262, 0.525, 0.124], [0.738, 0.475, 0.624], [0.738, 0.475, 0.876], [0.262, 0.525, 0.376], [0.000, 0.000, 0.500], [0.000, 0.000, 0.000], [0.450, 0.900, 0.750], [0.550, 0.100, 0.250]],
  "space_group": "Cmcm",
  "dft_energy_ev_per_atom": -10.65,
  "n_ef_per_ev_atom": 1.338
}

Entry 19:
{
  "formula": "NdPuNbN3",
  "functional": "PBE",
  "state": "optimized geometry",
  "cell": [[3.431, 0.000, 0.000], [0.000, 7.209, 1.086], [0.000, -1.610, 7.859]],
  "species": ["Nd", "Nd", "Pu", "Pu", "Nb", "Nb", "N", "N", "N", "N", "N", "N"],
  "fractional_positions": [[0.750, 0.856, 0.829], [0.250, 0.144, 0.171], [0.250, 0.625, 0.152], [0.750, 0.375, 0.848], [0.250, 0.129, 0.579], [0.750, 0.871, 0.421], [0.250, 0.831, 0.565], [0.750, 0.867, 0.156], [0.750, 0.405, 0.114], [0.750, 0.169, 0.435], [0.250, 0.595, 0.886], [0.250, 0.133, 0.844]],
  "space_group": "P2_1/m",
  "dft_energy_ev_per_atom": -9.99,
  "n_ef_per_ev_atom": 1.336
}